Record 1
Computed, not measured: a relaxed Ce3In2Ga crystal at the GGA-PBE level of DFT.

Cell: 3.9078 3.9078 10.5146 Å, 90.00 90.00 90.00°
Fractional positions:
Ce  0.0000  0.0000  0.0000
Ce  0.0000  0.0000  0.3683
Ce  0.0000  0.0000  0.6317
In  0.5000  0.5000  0.1845
In  0.5000  0.5000  0.8155
Ga  0.5000  0.5000  0.5000

Offset from the most stable computed form ... 0.0 meV per atom
Mass density ... 7.44 g/cm3
Formation enthalpy at 0 K ... -377 meV per atom

Record 2
Computed, not measured: a relaxed Ce12InGa6 crystal at the GGA-PBE level of DFT.

Cell: 8.2996 8.2996 8.2996 Å, 105.19 105.19 105.19°
Fractional positions:
Ce  0.0000  0.3963  0.6037
Ce  0.0000  0.6037  0.3963
Ce  0.1372  0.1372  0.4054
Ce  0.1372  0.4054  0.1372
Ce  0.3963  0.0000  0.6037
Ce  0.3963  0.6037  0.0000
Ce  0.4054  0.1372  0.1372
Ce  0.5946  0.8628  0.8628
Ce  0.6037  0.0000  0.3963
Ce  0.6037  0.3963  0.0000
Ce  0.8628  0.5946  0.8628
Ce  0.8628  0.8628  0.5946
In  0.5000  0.5000  0.5000
Ga  0.1943  0.8055  0.8055
Ga  0.1945  0.1945  0.8057
Ga  0.1945  0.8057  0.1945
Ga  0.8055  0.1943  0.8055
Ga  0.8055  0.8055  0.1943
Ga  0.8057  0.1945  0.1945

Mass density ... 7.39 g/cm3
Formation enthalpy at 0 K ... -127 meV per atom

Record 3
Computed, not measured: a relaxed Ce2In5Ga crystal at the GGA-PBE level of DFT.

Cell: 6.6094 13.2073 4.6123 Å, 90.00 90.00 90.00°
Fractional positions:
Ce  0.2345  0.1204  0.0000
Ce  0.2655  0.6204  0.0000
Ce  0.7345  0.3796  0.0000
Ce  0.7655  0.8796  0.0000
In  0.0000  0.5000  0.5000
In  0.0146  0.7521  0.5000
In  0.2399  0.3738  0.0000
In  0.2601  0.8738  0.0000
In  0.4854  0.2521  0.5000
In  0.5000  0.0000  0.5000
In  0.5146  0.7479  0.5000
In  0.7399  0.1262  0.0000
In  0.7601  0.6262  0.0000
In  0.9854  0.2479  0.5000
Ga  0.0000  0.0000  0.5000
Ga  0.5000  0.5000  0.5000

Mass density ... 7.62 g/cm3
Formation enthalpy at 0 K ... -409 meV per atom

Record 4
Computed, not measured: a relaxed CeInGa3 crystal at the GGA-PBE level of DFT.

Cell: 6.0199 3.0409 12.2157 Å, 90.00 90.00 90.00°
Fractional positions:
Ce  0.2500  0.0000  0.1949
Ce  0.7500  0.0000  0.8051
In  0.2500  0.5000  0.7912
In  0.7500  0.5000  0.2088
Ga  0.0000  0.5000  0.0000
Ga  0.0292  0.5000  0.3989
Ga  0.4708  0.5000  0.3989
Ga  0.5000  0.5000  0.0000
Ga  0.5292  0.5000  0.6011
Ga  0.9708  0.5000  0.6011

Mass density ... 6.89 g/cm3
Formation enthalpy at 0 K ... -235 meV per atom

Record 5
Computed, not measured: a relaxed Ce6InGa3 crystal at the GGA-PBE level of DFT.

Cell: 8.1167 8.1167 8.1167 Å, 81.02 81.02 81.02°
Fractional positions:
Ce  0.0973  0.7850  0.6601
Ce  0.1194  0.4421  0.3775
Ce  0.2150  0.3399  0.9027
Ce  0.3399  0.9027  0.2150
Ce  0.3775  0.1194  0.4421
Ce  0.4421  0.3775  0.1194
Ce  0.5579  0.6225  0.8806
Ce  0.6225  0.8806  0.5579
Ce  0.6601  0.0973  0.7850
Ce  0.7850  0.6601  0.0973
Ce  0.8806  0.5579  0.6225
Ce  0.9027  0.2150  0.3399
In  0.0000  0.0000  0.0000
In  0.5000  0.5000  0.5000
Ga  0.0280  0.1750  0.6723
Ga  0.1750  0.6723  0.0280
Ga  0.3277  0.9720  0.8250
Ga  0.6723  0.0280  0.1750
Ga  0.8250  0.3277  0.9720
Ga  0.9720  0.8250  0.3277

Mass density ... 7.48 g/cm3
Formation enthalpy at 0 K ... -224 meV per atom

Record 6
Computed, not measured: a relaxed Ce3In3Ga2 crystal at the GGA-PBE level of DFT.

Cell: 9.1150 9.1150 4.9656 Å, 105.62 105.62 30.20°
Fractional positions:
Ce  0.0000  0.0000  0.0000
Ce  0.1449  0.1449  0.6446
Ce  0.8551  0.8551  0.3554
In  0.3614  0.3614  0.8621
In  0.5000  0.5000  0.5000
In  0.6386  0.6386  0.1379
Ga  0.2449  0.2449  0.2442
Ga  0.7551  0.7551  0.7558

Mass density ... 7.53 g/cm3
Formation enthalpy at 0 K ... -367 meV per atom

Record 7
Computed, not measured: a relaxed Ce4InGa12 crystal at the GGA-PBE level of DFT.

Cell: 7.6969 7.6969 7.6969 Å, 109.47 109.47 109.47°
Fractional positions:
Ce  0.0000  0.0000  0.5000
Ce  0.0000  0.5000  0.0000
Ce  0.5000  0.0000  0.0000
Ce  0.5000  0.5000  0.5000
In  0.0000  0.0000  0.0000
Ga  0.0000  0.3190  0.3190
Ga  0.0000  0.6810  0.6810
Ga  0.2500  0.5000  0.7500
Ga  0.2500  0.7500  0.5000
Ga  0.3190  0.0000  0.3190
Ga  0.3190  0.3190  0.0000
Ga  0.5000  0.2500  0.7500
Ga  0.5000  0.7500  0.2500
Ga  0.6810  0.0000  0.6810
Ga  0.6810  0.6810  0.0000
Ga  0.7500  0.2500  0.5000
Ga  0.7500  0.5000  0.2500

Mass density ... 7.15 g/cm3
Formation enthalpy at 0 K ... -491 meV per atom

Record 8
Computed, not measured: a relaxed Ce4InGa2 crystal at the GGA-PBE level of DFT.

Cell: 12.8531 12.8531 12.8531 Å, 19.06 19.06 19.06°
Fractional positions:
Ce  0.1090  0.1090  0.1090
Ce  0.3151  0.3151  0.3151
Ce  0.6849  0.6849  0.6849
Ce  0.8910  0.8910  0.8910
In  0.5000  0.5000  0.5000
Ga  0.3972  0.3972  0.3972
Ga  0.6028  0.6028  0.6028

Offset from the most stable computed form ... 0.0 meV per atom
Mass density ... 6.84 g/cm3
Formation enthalpy at 0 K ... -159 meV per atom